[1]
First-principles (PBE) data for crystalline BaSr6Ca6 at its relaxed geometry, as listed in Alexandria via LeMat-Bulk.

Formation enthalpy at 0 K ... 60.6 meV per atom
Space-group type ... No. 191

Cell and atoms, written as extended XYZ:
```
13
Lattice="7.522 0.000 0.000 -3.761 6.514 0.000 0.000 0.000 13.670" Properties=species:S:1:pos:R:3 pbc="T T T"
Ba 0.000 0.000 0.000
Sr 0.000 0.000 4.833
Sr 0.000 0.000 8.837
Sr 0.000 4.343 0.000
Sr 0.000 4.343 6.835
Sr 3.761 2.171 0.000
Sr 3.761 2.171 6.835
Ca -1.881 3.257 3.308
Ca -1.881 3.257 10.362
Ca 3.761 0.000 3.308
Ca 3.761 0.000 10.362
Ca 1.881 3.257 3.308
Ca 1.881 3.257 10.362
```

[2]
First-principles (PBE) data for crystalline SrCe2CuN4 at its relaxed geometry, as listed in Alexandria via LeMat-Bulk.

Space-group type ... No. 63
Formation energy from raw total energies ... -0.90 eV/atom

Cell and atoms, written as extended XYZ:
```
16
Lattice="1.798 -5.880 0.000 1.798 5.880 0.000 0.000 0.000 11.798" Properties=species:S:1:pos:R:3 pbc="T T T"
Sr 1.798 4.655 8.848
Sr 1.798 -4.655 2.949
Ce 1.798 1.551 6.536
Ce 1.798 1.551 11.161
Ce 1.798 -1.551 0.637
Ce 1.798 -1.551 5.262
Cu 1.798 3.942 2.949
Cu 1.798 -3.942 8.848
N 0.000 0.000 0.000
N 0.000 0.000 5.899
N 1.798 2.863 1.270
N 1.798 2.863 4.629
N 1.798 0.923 8.848
N 1.798 -0.923 2.949
N 1.798 -2.863 7.169
N 1.798 -2.863 10.528
```